Entry 1:
Here is a relaxed PmAsRh crystal from the Alexandria database. Energies are from PBE-GGA.

```
PmAsRh
1.0
4.2715 0.0000 0.0000
-2.1358 3.6993 0.0000
0.0000 0.0000 3.9987
Pm As Rh
1 1 1
direct
0.0000 0.0000 0.0000 Pm
0.6667 0.3333 0.5000 As
0.3333 0.6667 0.5000 Rh
```

Computed properties:
crystal system	hexagonal
final energy	-6.65	eV/atom
magnetization	0.0	μB/cell
theoretical density	8.48	g/cm³
ΔH_f (0 K)	-103.33	kJ/mol of atoms

***

Entry 2:
Here is a relaxed Dy2HgH crystal from the Alexandria database. Energies are from PBE-GGA.

```
Dy2HgH
1.0
7.0569 0.0000 0.0000
0.0000 3.7853 0.0000
0.0000 0.0000 13.1443
Dy Hg H
8 4 4
direct
0.0742 0.2500 0.2259 Dy
0.2033 0.2500 0.9512 Dy
0.2967 0.7500 0.4512 Dy
0.4258 0.7500 0.7259 Dy
0.5742 0.2500 0.2741 Dy
0.7033 0.2500 0.5488 Dy
0.7967 0.7500 0.0488 Dy
0.9258 0.7500 0.7741 Dy
0.1360 0.2500 0.6255 Hg
0.3640 0.7500 0.1255 Hg
0.6360 0.2500 0.8745 Hg
0.8640 0.7500 0.3745 Hg
0.0379 0.7500 0.9340 H
0.4621 0.2500 0.4340 H
0.5379 0.7500 0.5660 H
0.9621 0.2500 0.0660 H
```

Computed properties:
crystal system	orthorhombic
final energy	-3.65	eV/atom
magnetization	0.0	μB/cell
theoretical density	9.96	g/cm³

***

Entry 3:
Here is a relaxed Sr4MgHg crystal from the Alexandria database. Energies are from PBE-GGA.

```
Sr4MgHg
1.0
4.0912 0.0000 0.0000
0.0000 4.0912 0.0000
0.0000 0.0000 14.6146
Sr Mg Hg
4 1 1
direct
0.0000 0.0000 0.1315 Sr
0.0000 0.0000 0.8685 Sr
0.5000 0.5000 0.3533 Sr
0.5000 0.5000 0.6467 Sr
0.0000 0.0000 0.5000 Mg
0.5000 0.5000 0.0000 Hg
```

Computed properties:
crystal system	tetragonal
final energy	-1.64	eV/atom
magnetization	0.0	μB/cell
theoretical density	3.91	g/cm³
ΔH_f (0 K)	-19.75	kJ/mol of atoms